Below is an optimized crystal structure of BaLiBiCl2, with properties calculated at the PBEsol level.

Values from the calculation:
energy: -3.21 eV/atom

Cell and atoms, written as POSCAR:
```
BaLiBiCl2
1.0
-2.786 -1.350 -3.988
4.728 -2.202 -2.557
-1.055 -5.146 2.479
Li Bi Cl Ba
1 1 2 1
Direct
0.500 0.000 0.000
0.000 0.000 0.000
0.000 0.500 0.000
0.000 0.000 0.500
0.500 0.500 0.500
```



Below is an optimized crystal structure of Ba2NbBiCl, with properties calculated at the PBEsol level.

Values from the calculation:
energy: -3.67 eV/atom

Cell and atoms, written as POSCAR:
```
Ba2NbBiCl
1.0
-1.699 -4.691 -1.990
4.739 -3.211 3.524
-4.267 -0.641 5.154
Nb Ba Cl Bi
1 2 1 1
Direct
0.500 0.500 0.500
0.000 0.500 0.000
0.000 0.000 0.500
0.500 0.000 0.000
0.000 0.000 0.000
```



Below is an optimized crystal structure of Ba3BiCl3O3, with properties calculated at the PBEsol level.

Values from the calculation:
energy: -5.58 eV/atom

Cell and atoms, written as POSCAR:
```
Ba3BiCl3O3
1.0
7.017 0.000 0.000
0.000 12.018 0.000
0.000 0.000 12.174
O Ba Cl Bi
12 12 12 4
Direct
0.569 0.874 0.550
0.431 0.126 0.450
0.069 0.626 0.950
0.931 0.374 0.050
0.208 0.750 0.492
0.792 0.250 0.508
0.708 0.750 0.008
0.069 0.874 0.950
0.931 0.126 0.050
0.292 0.250 0.992
0.569 0.626 0.550
0.431 0.374 0.450
0.674 0.067 0.613
0.326 0.567 0.387
0.656 0.250 0.967
0.156 0.250 0.533
0.674 0.433 0.613
0.826 0.567 0.113
0.326 0.933 0.387
0.844 0.750 0.467
0.174 0.433 0.887
0.344 0.750 0.033
0.174 0.067 0.887
0.826 0.933 0.113
0.386 0.004 0.136
0.614 0.504 0.864
0.886 0.496 0.364
0.114 0.504 0.636
0.923 0.250 0.765
0.386 0.496 0.136
0.114 0.996 0.636
0.577 0.750 0.265
0.886 0.004 0.364
0.077 0.750 0.235
0.614 0.996 0.864
0.423 0.250 0.735
0.101 0.250 0.123
0.399 0.750 0.623
0.899 0.750 0.877
0.601 0.250 0.377
```



Number 1: formation energy from raw total energies -16.67 kcal/mol of atoms, N(E_F) 0.29 states/eV/atom. Number 2: formation energy from raw total energies 14.12 kcal/mol of atoms, N(E_F) 0.79 states/eV/atom. Number 3: formation energy from raw total energies -53.61 kcal/mol of atoms, N(E_F) 0.00 states/eV/atom.